Record 1
Here is a relaxed InMoPt2 crystal from Alexandria. Energies are from PBE-GGA.

```
InMoPt2
1.0
-2.0028 2.0028 9.1791
2.0028 -2.0028 9.1791
2.0028 2.0028 -9.1791
In Mo Pt
2 2 4
Direct
0.0000 0.0000 0.0000 In
0.7500 0.2500 0.5000 In
0.2500 0.7500 0.5000 Mo
0.5000 0.5000 0.0000 Mo
0.1353 0.6250 0.0103 Pt
0.3750 0.3853 0.5103 Pt
0.6147 0.1250 0.9897 Pt
0.8750 0.8647 0.4897 Pt
```

Computed properties:
Formation energy from the elements = 0.268 eV per atom
E = -6.145 eV/atom
Density of states at the Fermi level = 4.22 states/eV/f.u.
M_tot = 0.0 μB per formula unit

=====

Record 2
Here is a relaxed Y2Zn2Se crystal from Alexandria. Energies are from PBE-GGA.

```
Y2Zn2Se
1.0
7.3832 0.0000 0.0000
0.0000 7.3832 0.0000
0.0000 0.0000 4.1747
Y Zn Se
4 4 2
Direct
0.1691 0.3309 0.0000 Y
0.3309 0.8309 0.0000 Y
0.6691 0.1691 0.0000 Y
0.8309 0.6691 0.0000 Y
0.1229 0.6229 0.5000 Zn
0.3771 0.1229 0.5000 Zn
0.6229 0.8771 0.5000 Zn
0.8771 0.3771 0.5000 Zn
0.0000 0.0000 0.5000 Se
0.5000 0.5000 0.5000 Se
```

Computed properties:
E = -4.322 eV/atom
Excess energy over the best structure of this formula in the dataset = 193 kJ/mol of formula units
Density of states at the Fermi level = 1.87 states/eV/f.u.
M_tot = 0.0 μB per formula unit
ΔE_f (raw) = -0.53 eV per atom

=====

Record 3
Here is a relaxed Mg2Zn5Ni2Ag crystal from Alexandria. Energies are from PBE-GGA.

```
Mg2Zn5Ni2Ag
1.0
8.8374 0.0000 0.0000
0.0000 8.8374 0.0000
0.0000 0.0000 3.9437
Mg Zn Ni Ag
4 10 4 2
Direct
0.1749 0.3251 0.0000 Mg
0.3251 0.8251 0.0000 Mg
0.6749 0.1749 0.0000 Mg
0.8251 0.6749 0.0000 Mg
0.0000 0.5000 0.5000 Zn
0.0742 0.7911 0.5000 Zn
0.2089 0.0742 0.5000 Zn
0.2911 0.5742 0.5000 Zn
0.4258 0.2911 0.5000 Zn
0.5000 0.0000 0.5000 Zn
0.5742 0.7089 0.5000 Zn
0.7089 0.4258 0.5000 Zn
0.7911 0.9258 0.5000 Zn
0.9258 0.2089 0.5000 Zn
0.1174 0.6174 0.0000 Ni
0.3826 0.1174 0.0000 Ni
0.6174 0.8826 0.0000 Ni
0.8826 0.3826 0.0000 Ni
0.0000 0.0000 0.0000 Ag
0.5000 0.5000 0.0000 Ag
```

Computed properties:
Formation energy from the elements = -0.169 eV per atom
E = -2.566 eV/atom
Density of states at the Fermi level = 2.91 states/eV/f.u.
M_tot = 0.0 μB per formula unit

=====

Record 4
Here is a relaxed AlTl2Cd crystal from Alexandria. Energies are from PBE-GGA.

```
AlTl2Cd
1.0
0.0000 3.7540 3.7540
3.7540 0.0000 3.7540
3.7540 3.7540 0.0000
Al Tl Cd
1 2 1
Direct
0.0000 0.0000 0.0000 Al
0.5000 0.5000 0.5000 Tl
0.7500 0.7500 0.7500 Tl
0.2500 0.2500 0.2500 Cd
```

Computed properties:
Formation energy from the elements = 0.248 eV per atom
E = -2.099 eV/atom
Density of states at the Fermi level = 3.89 states/eV/f.u.
M_tot = 0.0 μB per formula unit

=====

Record 5
Here is a relaxed Dy2HoScSe6 crystal from Alexandria. Energies are from PBE-GGA.

```
Dy2HoScSe6
1.0
3.5466 2.0476 6.3924
-3.5466 2.0476 6.3924
0.0000 -4.0952 6.3924
Dy Ho Sc Se
2 1 1 6
Direct
0.0000 0.0000 0.0000 Dy
0.4978 0.4978 0.4978 Dy
0.1948 0.1948 0.1948 Ho
0.6921 0.6921 0.6921 Sc
0.0773 0.4206 0.7963 Se
0.3043 0.9048 0.5924 Se
0.4206 0.7963 0.0773 Se
0.5924 0.3043 0.9048 Se
0.7963 0.0773 0.4206 Se
0.9048 0.5924 0.3043 Se
```

Computed properties:
E = -5.900 eV/atom
Density of states at the Fermi level = 0.00 states/eV/f.u.
M_tot = 0.0 μB per formula unit
ΔE_f (raw) = -1.80 eV per atom

=====

Record 6
Here is a relaxed Sr2HgGeAu6 crystal from Alexandria. Energies are from PBE-GGA.

```
Sr2HgGeAu6
1.0
5.6097 0.0000 0.0000
2.7977 6.4246 0.0000
2.7992 -0.1513 6.9109
Sr Hg Ge Au
2 1 1 6
Direct
0.0333 0.2262 0.2087 Sr
0.9667 0.7738 0.7913 Sr
0.5000 0.5000 0.0000 Hg
0.5000 0.0000 0.5000 Ge
0.0121 0.2274 0.7464 Au
0.3437 0.4073 0.4083 Au
0.4882 0.7730 0.2520 Au
0.5118 0.2270 0.7480 Au
0.6563 0.5927 0.5917 Au
0.9879 0.7726 0.2536 Au
```

Computed properties:
Formation energy from the elements = -0.398 eV per atom
E = -3.193 eV/atom
Density of states at the Fermi level = 3.74 states/eV/f.u.
M_tot = 0.0 μB per formula unit

=====

Record 7
Here is a relaxed CeDyHoPb crystal from Alexandria. Energies are from PBE-GGA.

```
CeDyHoPb
1.0
0.0000 3.8402 3.8402
3.8402 0.0000 3.8402
3.8402 3.8402 0.0000
Ce Dy Ho Pb
1 1 1 1
Direct
0.0000 0.0000 0.0000 Ce
0.2500 0.2500 0.2500 Dy
0.7500 0.7500 0.7500 Ho
0.5000 0.5000 0.5000 Pb
```

Computed properties:
Formation energy from the elements = -0.047 eV per atom
E = -4.752 eV/atom
Density of states at the Fermi level = 8.55 states/eV/f.u.
M_tot = 1.1 μB per formula unit

=====

Record 8
Here is a relaxed Dy4ErS6 crystal from Alexandria. Energies are from PBE-GGA.

```
Dy4ErS6
1.0
1.9056 -6.4280 0.0000
1.9056 6.4280 0.0000
0.0000 0.0000 19.7954
Dy Er S
8 2 12
Direct
0.0913 0.9087 0.6282 Dy
0.0913 0.9087 0.8718 Dy
0.3610 0.6390 0.5400 Dy
0.3610 0.6390 0.9600 Dy
0.6390 0.3610 0.0400 Dy
0.6390 0.3610 0.4600 Dy
0.9087 0.0913 0.1282 Dy
0.9087 0.0913 0.3718 Dy
0.1512 0.8488 0.2500 Er
0.8488 0.1512 0.7500 Er
0.0000 0.0000 0.0000 S
0.0000 0.0000 0.5000 S
0.1962 0.8038 0.7500 S
0.2699 0.7301 0.0891 S
0.2699 0.7301 0.4109 S
0.4482 0.5518 0.6681 S
0.4482 0.5518 0.8319 S
0.5518 0.4482 0.1681 S
0.5518 0.4482 0.3319 S
0.7301 0.2699 0.5891 S
0.7301 0.2699 0.9109 S
0.8038 0.1962 0.2500 S
```

Computed properties:
E = -6.369 eV/atom
Density of states at the Fermi level = 2.60 states/eV/f.u.
M_tot = 0.0 μB per formula unit
ΔE_f (raw) = -2.03 eV per atom

=====

What did the sixth record say?
Here is a relaxed Sr2HgGeAu6 crystal from Alexandria. Energies are from PBE-GGA.

```
Sr2HgGeAu6
1.0
5.6097 0.0000 0.0000
2.7977 6.4246 0.0000
2.7992 -0.1513 6.9109
Sr Hg Ge Au
2 1 1 6
Direct
0.0333 0.2262 0.2087 Sr
0.9667 0.7738 0.7913 Sr
0.5000 0.5000 0.0000 Hg
0.5000 0.0000 0.5000 Ge
0.0121 0.2274 0.7464 Au
0.3437 0.4073 0.4083 Au
0.4882 0.7730 0.2520 Au
0.5118 0.2270 0.7480 Au
0.6563 0.5927 0.5917 Au
0.9879 0.7726 0.2536 Au
```

Computed properties:
Formation energy from the elements = -0.398 eV per atom
E = -3.193 eV/atom
Density of states at the Fermi level = 3.74 states/eV/f.u.
M_tot = 0.0 μB per formula unit